Material: VW2ClF
Method: DFT, PBE+U
State: optimized geometry

Cell lengths 5.403, 5.403, 4.612 Å; angles 90.00, 90.00, 90.00 degrees
Space group P4/mmm (No. 123)
Unique sites:
V  0.000  0.000  0.000 x1
W  0.000  0.500  0.000 x2
Cl  0.000  0.000  0.500 x1
F  0.500  0.500  0.500 x1

**D(E_F)**: 0.2980 states/eV/atom
**Calculated total energy**: -0.145 hartree per atom
**Theoretical density**: 5.83 Mg/m³
**Calculated volume**: 26.930 A^3/atom
**Spin magnetization**: 5.00 μB/f.u.
**Crystal system**: tetragonal